Entry from Alexandria via LeMat-Bulk: a relaxed Na3La2CeTe6 crystal (GGA-PBE).

Unit cell a=8.020 b=13.891 c=7.962 alpha=90.00 beta=109.62 gamma=90.00
Space group C2/m (No. 12)
Unique sites:
Na 0.000 0.000 0.000 [2 per cell]
Na 0.000 0.333 0.000 [4 per cell]
La 0.000 0.167 0.500 [4 per cell]
Ce 0.000 0.500 0.500 [2 per cell]
Te 0.246 0.335 0.741 [8 per cell]
Te 0.250 0.000 0.741 [4 per cell]

Properties
For the final energy, the calculation gives -4.570 eV/atom. For the density, the calculation gives 4.98 g/cm3. Its uncorrected formation energy is -1.35 eV/atom.

=====

Entry from Alexandria via LeMat-Bulk: a relaxed CaGd2Y crystal (GGA-PBE).

Unit cell a=3.5713 b=3.5713 c=37.7437 alpha=90.00 beta=90.00 gamma=120.00
Space group R-3m (No. 166, hexagonal axes)
Unique sites:
Ca 0.0000 0.0000 0.0000 [3 per cell]
Gd 0.0000 0.0000 0.0906 [6 per cell]
Y 0.0000 0.0000 0.5000 [3 per cell]

Properties
For the energy of formation from the pure elements, the calculation gives 0.14 eV/atom. For the final energy, the calculation gives -9.013 eV/atom. Its distance to the lowest polymorph of the same formula is 86 meV/atom. For the density, the calculation gives 5.30 g/cm3.

=====

Entry from Alexandria via LeMat-Bulk: a relaxed SrAl2Co crystal (GGA-PBE).

Unit cell a=3.257 b=3.257 c=7.418 alpha=90.00 beta=90.00 gamma=90.00
Space group P4mm (No. 99)
Unique sites:
Sr 0.000 0.000 0.000 [1 per cell]
Al 0.000 0.000 0.570 [1 per cell]
Al 0.500 0.500 0.344 [1 per cell]
Co 0.500 0.500 0.685 [1 per cell]

Properties
For the energy of formation from the pure elements, the calculation gives -0.01 eV/atom. For the final energy, the calculation gives -4.080 eV/atom. For the density, the calculation gives 4.23 g/cm3.

=====

Entry from Alexandria via LeMat-Bulk: a relaxed Co2Cl crystal (GGA-PBE).

Unit cell a=2.842 b=2.842 c=10.141 alpha=90.00 beta=90.00 gamma=90.00
Space group I4/mmm (No. 139)
Unique sites:
Co 0.000 0.000 0.180 [4 per cell]
Cl 0.000 0.000 0.500 [2 per cell]

Properties
For the final energy, the calculation gives -4.945 eV/atom. Its distance to the lowest polymorph of the same formula is 516 meV/atom. For the density, the calculation gives 6.22 g/cm3. Its uncorrected formation energy is 0.41 eV/atom.

=====

Entry from Alexandria via LeMat-Bulk: a relaxed SrSbP2O crystal (GGA-PBE).

Unit cell a=5.559 b=5.559 c=4.306 alpha=90.00 beta=90.00 gamma=90.00
Space group P4/mmm (No. 123)
Unique sites:
Sr 0.000 0.000 0.000 [1 per cell]
Sb 0.500 0.500 0.500 [1 per cell]
P 0.000 0.500 0.000 [2 per cell]
O 0.000 0.000 0.500 [1 per cell]

Properties
For the final energy, the calculation gives -3.671 eV/atom. Its distance to the lowest polymorph of the same formula is 979 meV/atom. For the density, the calculation gives 3.59 g/cm3. Its uncorrected formation energy is 0.65 eV/atom.

=====

Entry from Alexandria via LeMat-Bulk: a relaxed Mg2OsRu crystal (GGA-PBE).

Unit cell a=2.753 b=4.433 c=5.089 alpha=90.00 beta=96.96 gamma=90.00
Space group P2/m (No. 10)
Unique sites:
Mg 0.240 0.000 0.251 [2 per cell]
Os 0.500 0.500 0.000 [1 per cell]
Ru 0.000 0.500 0.500 [1 per cell]

Properties
For the energy of formation from the pure elements, the calculation gives 0.21 eV/atom. For the final energy, the calculation gives -5.710 eV/atom. Its distance to the lowest polymorph of the same formula is 208 meV/atom. For the density, the calculation gives 9.15 g/cm3.

=====

Entry from Alexandria via LeMat-Bulk: a relaxed Pm3Ni2Rh7 crystal (GGA-PBE).

Unit cell a=5.3104 b=5.3104 c=25.6782 alpha=90.00 beta=90.00 gamma=120.00
Space group R-3m (No. 166, hexagonal axes)
Unique sites:
Pm 0.0000 0.0000 0.0000 [3 per cell]
Pm 0.0000 0.0000 0.1395 [6 per cell]
Ni 0.0000 0.0000 0.3332 [6 per cell]
Rh 0.0000 0.0000 0.5000 [3 per cell]
Rh 0.0011 0.5006 0.9208 [18 per cell]

Properties
For the energy of formation from the pure elements, the calculation gives -0.53 eV/atom. For the final energy, the calculation gives -6.966 eV/atom. For the density, the calculation gives 10.11 g/cm3.

=====

Entry from Alexandria via LeMat-Bulk: a relaxed HfGeOs2 crystal (GGA-PBE).

Unit cell a=4.397 b=4.397 c=3.246 alpha=90.00 beta=90.00 gamma=90.00
Space group P4/mmm (No. 123)
Unique sites:
Hf 0.000 0.000 0.000 [1 per cell]
Ge 0.500 0.500 0.000 [1 per cell]
Os 0.000 0.500 0.500 [2 per cell]

Properties
For the energy of formation from the pure elements, the calculation gives -0.27 eV/atom. For the final energy, the calculation gives -9.526 eV/atom. For the density, the calculation gives 16.71 g/cm3.

=====

Entry from Alexandria via LeMat-Bulk: a relaxed Mg2AlOs crystal (GGA-PBE).

Unit cell a=4.074 b=4.074 c=7.726 alpha=90.00 beta=90.00 gamma=90.00
Space group I-4m2 (No. 119)
Unique sites:
Mg 0.000 0.000 0.000 [2 per cell]
Mg 0.000 0.500 0.250 [2 per cell]
Al 0.000 0.000 0.500 [2 per cell]
Os 0.000 0.500 0.750 [2 per cell]

Properties
For the energy of formation from the pure elements, the calculation gives -0.04 eV/atom. For the final energy, the calculation gives -4.584 eV/atom. For the density, the calculation gives 6.88 g/cm3.

=====

Entry from Alexandria via LeMat-Bulk: a relaxed KTh2Te5Au crystal (GGA-PBE).

Unit cell a=8.744 b=8.744 c=16.337 alpha=90.00 beta=90.00 gamma=90.00
Space group I4/mcm (No. 140)
Unique sites:
K 0.000 0.000 0.250 [4 per cell]
Th 0.156 0.344 0.000 [8 per cell]
Te 0.000 0.000 0.000 [4 per cell]
Te 0.147 0.353 0.378 [16 per cell]
Au 0.000 0.500 0.250 [4 per cell]

Properties
For the final energy, the calculation gives -4.836 eV/atom. For the density, the calculation gives 7.12 g/cm3. Its uncorrected formation energy is -0.96 eV/atom.

=====

Entry from Alexandria via LeMat-Bulk: a relaxed LiSbMo2 crystal (GGA-PBE).

Unit cell a=5.346 b=8.171 c=3.049 alpha=90.00 beta=90.00 gamma=90.00
Space group Cmmm (No. 65)
Unique sites:
Li 0.000 0.000 0.000 [2 per cell]
Sb 0.000 0.500 0.000 [2 per cell]
Mo 0.250 0.250 0.500 [4 per cell]

Properties
For the final energy, the calculation gives -6.492 eV/atom. For the density, the calculation gives 8.00 g/cm3. Its uncorrected formation energy is 0.43 eV/atom.

=====

Entry from Alexandria via LeMat-Bulk: a relaxed Rb2C2N3 crystal (GGA-PBE).

Unit cell a=11.519 b=2.804 c=7.579 alpha=90.00 beta=124.30 gamma=90.00
Space group C2/m (No. 12)
Unique sites:
Rb 0.061 0.000 0.334 [4 per cell]
C 0.189 0.500 0.030 [4 per cell]
N 0.000 0.500 0.000 [2 per cell]
N 0.232 0.500 0.876 [4 per cell]

Properties
For the final energy, the calculation gives -5.174 eV/atom. Its distance to the lowest polymorph of the same formula is 1299 meV/atom. For the density, the calculation gives 3.89 g/cm3. Its uncorrected formation energy is 1.31 eV/atom.